Tb4TeAs2Se: optimized geometry, GGA-PBE.

CIF file:
```
data_Tb4TeAs2Se
_cell_length_a 7.226
_cell_length_b 4.171
_cell_length_c 7.340
_cell_angle_alpha 90.00
_cell_angle_beta 109.20
_cell_angle_gamma 90.00
_space_group_name_H-M_alt 'P 1 2/m 1'
_space_group_IT_number 10
_space_group_name_Hall '-P 2y'
loop_
_atom_site_label
_atom_site_type_symbol
_atom_site_fract_x
_atom_site_fract_y
_atom_site_fract_z
_atom_site_occupancy
Tb1 Tb 0.234 0.000 0.224 1
Tb2 Tb 0.250 0.500 0.770 1
Te1 Te 0.500 0.500 0.500 1
As1 As 0.000 0.500 0.000 1
As2 As 0.500 0.000 0.000 1
Se1 Se 0.000 0.000 0.500 1
```



Tb6TeAs2Se3: optimized geometry, GGA-PBE.

CIF file:
```
data_Tb6TeAs2Se3
_cell_length_a 18.128
_cell_length_b 4.152
_cell_length_c 8.343
_cell_angle_alpha 90.00
_cell_angle_beta 102.77
_cell_angle_gamma 90.00
_space_group_name_H-M_alt 'C 1 2/m 1'
_space_group_IT_number 12
_space_group_name_Hall '-C 2y'
loop_
_atom_site_label
_atom_site_type_symbol
_atom_site_fract_x
_atom_site_fract_y
_atom_site_fract_z
_atom_site_occupancy
Tb1 Tb 0.007 0.000 0.273 1
Tb2 Tb 0.170 0.500 0.577 1
Tb3 Tb 0.175 0.500 0.102 1
Te1 Te 0.000 0.500 0.000 1
As1 As 0.168 0.000 0.335 1
Se1 Se 0.000 0.500 0.500 1
Se2 Se 0.162 0.000 0.835 1
```



Tb6Te3AsSe2: optimized geometry, GGA-PBE.

CIF file:
```
data_Tb6Te3AsSe2
_cell_length_a 7.291
_cell_length_b 12.622
_cell_length_c 7.474
_cell_angle_alpha 90.00
_cell_angle_beta 108.97
_cell_angle_gamma 90.00
_space_group_name_H-M_alt 'C 1 2/m 1'
_space_group_IT_number 12
_space_group_name_Hall '-C 2y'
loop_
_atom_site_label
_atom_site_type_symbol
_atom_site_fract_x
_atom_site_fract_y
_atom_site_fract_z
_atom_site_occupancy
Tb1 Tb 0.236 0.164 0.216 1
Tb2 Tb 0.245 0.500 0.217 1
Te1 Te 0.000 0.168 0.500 1
Te2 Te 0.000 0.500 0.500 1
As1 As 0.000 0.000 0.000 1
Se1 Se 0.000 0.334 0.000 1
```



Tb6Te3As2Se: optimized geometry, GGA-PBE.

CIF file:
```
data_Tb6Te3As2Se
_cell_length_a 18.689
_cell_length_b 4.211
_cell_length_c 8.590
_cell_angle_alpha 90.00
_cell_angle_beta 105.01
_cell_angle_gamma 90.00
_space_group_name_H-M_alt 'C 1 2/m 1'
_space_group_IT_number 12
_space_group_name_Hall '-C 2y'
loop_
_atom_site_label
_atom_site_type_symbol
_atom_site_fract_x
_atom_site_fract_y
_atom_site_fract_z
_atom_site_occupancy
Tb1 Tb 0.009 0.000 0.236 1
Tb2 Tb 0.162 0.500 0.105 1
Tb3 Tb 0.175 0.500 0.565 1
Te1 Te 0.000 0.500 0.500 1
Te2 Te 0.165 0.000 0.833 1
As1 As 0.167 0.000 0.333 1
Se1 Se 0.000 0.500 0.000 1
```



Tb4TeAsSe2: optimized geometry, GGA-PBE.

CIF file:
```
data_Tb4TeAsSe2
_cell_length_a 7.182
_cell_length_b 4.161
_cell_length_c 7.340
_cell_angle_alpha 90.00
_cell_angle_beta 109.17
_cell_angle_gamma 90.00
_space_group_name_H-M_alt 'P 1 2/m 1'
_space_group_IT_number 10
_space_group_name_Hall '-P 2y'
loop_
_atom_site_label
_atom_site_type_symbol
_atom_site_fract_x
_atom_site_fract_y
_atom_site_fract_z
_atom_site_occupancy
Tb1 Tb 0.236 0.000 0.223 1
Tb2 Tb 0.252 0.500 0.770 1
Te1 Te 0.500 0.500 0.500 1
As1 As 0.500 0.000 0.000 1
Se1 Se 0.000 0.000 0.500 1
Se2 Se 0.000 0.500 0.000 1
```



TbTh2As2Se2: optimized geometry, GGA-PBE.

CIF file:
```
data_TbTh2As2Se2
_cell_length_a 5.338
_cell_length_b 5.338
_cell_length_c 14.769
_cell_angle_alpha 90.00
_cell_angle_beta 90.00
_cell_angle_gamma 90.00
_space_group_name_H-M_alt 'I 4/m m m'
_space_group_IT_number 139
_space_group_name_Hall '-I 4 2'
loop_
_atom_site_label
_atom_site_type_symbol
_atom_site_fract_x
_atom_site_fract_y
_atom_site_fract_z
_atom_site_occupancy
Tb1 Tb 0.000 0.000 0.000 1
Th1 Th 0.000 0.000 0.384 1
As1 As 0.000 0.500 0.000 1
Se1 Se 0.000 0.000 0.193 1
```



Tb8Tl4AsSe3: optimized geometry, GGA-PBE.

CIF file:
```
data_Tb8Tl4AsSe3
_cell_length_a 13.857
_cell_length_b 7.975
_cell_length_c 9.175
_cell_angle_alpha 90.00
_cell_angle_beta 120.32
_cell_angle_gamma 90.00
_space_group_name_H-M_alt 'C 1 2/m 1'
_space_group_IT_number 12
_space_group_name_Hall '-C 2y'
loop_
_atom_site_label
_atom_site_type_symbol
_atom_site_fract_x
_atom_site_fract_y
_atom_site_fract_z
_atom_site_occupancy
Tb1 Tb 0.010 0.247 0.283 1
Tb2 Tb 0.237 0.000 0.717 1
Tb3 Tb 0.240 0.500 0.721 1
Tl1 Tl 0.000 0.000 0.000 1
Tl2 Tl 0.000 0.500 0.000 1
Tl3 Tl 0.250 0.250 0.000 1
As1 As 0.000 0.000 0.500 1
Se1 Se 0.000 0.500 0.500 1
Se2 Se 0.250 0.250 0.500 1
```



Tb4TlAsSe2: optimized geometry, GGA-PBE.

CIF file:
```
data_Tb4TlAsSe2
_cell_length_a 7.304
_cell_length_b 4.117
_cell_length_c 7.336
_cell_angle_alpha 90.00
_cell_angle_beta 108.75
_cell_angle_gamma 90.00
_space_group_name_H-M_alt 'P 1 2/m 1'
_space_group_IT_number 10
_space_group_name_Hall '-P 2y'
loop_
_atom_site_label
_atom_site_type_symbol
_atom_site_fract_x
_atom_site_fract_y
_atom_site_fract_z
_atom_site_occupancy
Tb1 Tb 0.243 0.000 0.238 1
Tb2 Tb 0.256 0.500 0.760 1
Tl1 Tl 0.500 0.500 0.500 1
As1 As 0.500 0.000 0.000 1
Se1 Se 0.000 0.000 0.500 1
Se2 Se 0.000 0.500 0.000 1
```



Number 1: raw formation energy -1.60 eV/atom. Number 2: raw formation energy -1.66 eV/atom. Number 3: raw formation energy -1.55 eV/atom. Number 4: raw formation energy -1.53 eV/atom. Number 5: raw formation energy -1.63 eV/atom. Number 6: raw formation energy -1.07 eV/atom. Number 7: raw formation energy -1.03 eV/atom. Number 8: raw formation energy -1.34 eV/atom.